No. 1
SrCoN3: PBEsol geometry, SCAN.

The density of states at the Fermi level is 0.44 states/eV per atom. The total energy comes out at -0.806 Ry/atom. The value obtained for the total magnetic moment is 8.0 Bohr magnetons per cell. Its uncorrected formation energy is 2524 meV/atom.

It has space group Pm-3m (No. 221), with a = 4.396 Å, b = 4.396 Å, c = 4.396 Å, α = 90.00°, β = 90.00° and γ = 90.00°. The distinct sites, in fractional coordinates, are Sr at (0.000, 0.000, 0.000), Co at (0.500, 0.500, 0.500) and N at (0.000, 0.000, 0.500).

=====

No. 2
K2PPbCl: PBEsol geometry, SCAN.

The density of states at the Fermi level is 0.65 states/eV per atom. The total energy comes out at -1.630 Ry/atom. The value obtained for the total magnetic moment is 1.6 Bohr magnetons per cell. Its uncorrected formation energy is -9 meV/atom.

It has space group P4/mmm (No. 123), with a = 6.380 Å, b = 6.380 Å, c = 4.609 Å, α = 90.00°, β = 90.00° and γ = 90.00°. The distinct sites, in fractional coordinates, are K at (0.000, 0.500, 0.000), P at (0.000, 0.000, 0.000), Pb at (0.500, 0.500, 0.500) and Cl at (0.000, 0.000, 0.500).

=====

No. 3
LiCaSb3: PBEsol geometry, SCAN.

The density of states at the Fermi level is 0.56 states/eV per atom. The total energy comes out at -1.835 Ry/atom. The value obtained for the total magnetic moment is 0.0 Bohr magnetons per cell. Its uncorrected formation energy is -200 meV/atom.

It has space group Pm-3m (No. 221), with a = 5.052 Å, b = 5.052 Å, c = 5.052 Å, α = 90.00°, β = 90.00° and γ = 90.00°. The distinct sites, in fractional coordinates, are Li at (0.000, 0.000, 0.000), Ca at (0.500, 0.500, 0.500) and Sb at (0.000, 0.000, 0.500).

=====

Copy entry 2 word for word.
K2PPbCl: PBEsol geometry, SCAN.

The density of states at the Fermi level is 0.65 states/eV per atom. The total energy comes out at -1.630 Ry/atom. The value obtained for the total magnetic moment is 1.6 Bohr magnetons per cell. Its uncorrected formation energy is -9 meV/atom.

It has space group P4/mmm (No. 123), with a = 6.380 Å, b = 6.380 Å, c = 4.609 Å, α = 90.00°, β = 90.00° and γ = 90.00°. The distinct sites, in fractional coordinates, are K at (0.000, 0.500, 0.000), P at (0.000, 0.000, 0.000), Pb at (0.500, 0.500, 0.500) and Cl at (0.000, 0.000, 0.500).

=====

Please write out number 3 again, unchanged.
LiCaSb3: PBEsol geometry, SCAN.

The density of states at the Fermi level is 0.56 states/eV per atom. The total energy comes out at -1.835 Ry/atom. The value obtained for the total magnetic moment is 0.0 Bohr magnetons per cell. Its uncorrected formation energy is -200 meV/atom.

It has space group Pm-3m (No. 221), with a = 5.052 Å, b = 5.052 Å, c = 5.052 Å, α = 90.00°, β = 90.00° and γ = 90.00°. The distinct sites, in fractional coordinates, are Li at (0.000, 0.000, 0.000), Ca at (0.500, 0.500, 0.500) and Sb at (0.000, 0.000, 0.500).

=====

Question: Among the records above, which one has the lowest density of states at the Fermi level?
Answer: SrCoN3